[1]
Density functional theory data (PBE) for crystalline PmSm2DyHo5 at its relaxed geometry.

As for the formation energy from the elements: 0.27 eV/atom.

a b c (Å): 8.7162 8.7162 15.3297
angles (deg): 90.00 90.00 90.00
Last column: nearest neighbours and their distance in Å.
Space group I4/mcm (No. 140)
Symmetry-distinct sites (fractional):
Pm: 0.0000 0.0000 0.2500 (multiplicity 4)  10 Ho 3.57-3.83
Sm: 0.1161 0.3839 0.0000 (multiplicity 8)  1 Sm 2.86, 2 Ho 3.01
Dy: 0.0000 0.5000 0.2500 (multiplicity 4)  4 Ho 3.11
Ho: 0.0000 0.0000 0.0000 (multiplicity 4)  4 Sm 3.50, 8 Ho 3.76, 2 Pm 3.83
Ho: 0.2090 0.2910 0.3631 (multiplicity 16)  1 Sm 3.01, 1 Dy 3.11



[2]
Density functional theory data (PBE) for crystalline K2BaCa at its relaxed geometry.

As for the formation energy from the elements: 0.17 eV/atom. The distance to the lowest polymorph of the same formula comes out at 85.1 meV per atom.

a b c (Å): 6.3322 6.3322 12.1546
angles (deg): 90.00 90.00 90.00
Last column: nearest neighbours and their distance in Å.
Space group I-4m2 (No. 119)
Symmetry-distinct sites (fractional):
K: 0.0000 0.0000 0.0000 (multiplicity 2)  4 Ba 4.39, 4 K 4.39, 4 Ca 4.48
K: 0.0000 0.5000 0.2500 (multiplicity 2)  4 K 4.39, 4 Ca 4.39, 4 Ba 4.48
Ba: 0.0000 0.5000 0.7500 (multiplicity 2)  4 Ca 4.39, 8 K 4.39-4.48
Ca: 0.0000 0.0000 0.5000 (multiplicity 2)  4 Ba 4.39, 8 K 4.39-4.48



[3]
Density functional theory data (PBE) for crystalline TcNi2RhN at its relaxed geometry.

a b c (Å): 3.8413 3.8413 3.9458
angles (deg): 90.00 90.00 90.00
Last column: nearest neighbours and their distance in Å.
Space group P4/mmm (No. 123)
Symmetry-distinct sites (fractional):
Tc: 0.0000 0.0000 0.0000 (multiplicity 1)  2 N 1.97
Ni: 0.0000 0.5000 0.5000 (multiplicity 2)  2 N 1.92
Rh: 0.5000 0.5000 0.0000 (multiplicity 1)  4 Tc 2.72, 8 Ni 2.75
N: 0.0000 0.0000 0.5000 (multiplicity 1)  4 Ni 1.92, 2 Tc 1.97



VASP energy readings, ordered: -156.90 -10.87 -37.04 eV/cell